# GGA-PBE La6Pb2CN, optimized geometry
# volume: 27.94 Å³/atom
# energy: -122.82 eV for the cell shown
data_La6Pb2CN
_symmetry_space_group_name_H-M 'P m m n'
_symmetry_Int_Tables_number 59
_cell_length_a 7.334
_cell_length_b 10.390
_cell_length_c 7.334
_cell_angle_alpha 90.00
_cell_angle_beta 90.00
_cell_angle_gamma 90.00
loop_
_symmetry_equiv_pos_as_xyz
'x,y,z'
'-x,-y,-z'
'-x+1/2,-y+1/2,z'
'x+1/2,y+1/2,-z'
'x+1/2,-y,-z'
'-x+1/2,y,z'
'-x,y+1/2,-z'
'x,-y+1/2,z'
loop_
_atom_site_label
_atom_site_fract_x
_atom_site_fract_y
_atom_site_fract_z
_atom_site_occupancy
La1 0.001 0.250 0.001 1
La2 0.001 0.250 0.499 1
La3 0.250 0.001 0.250 1
Pb1 0.250 0.000 0.750 1
C1 0.250 0.750 0.250 1
N1 0.250 0.250 0.250 1